The following is a PBE with a Hubbard U calculation of a relaxed structure of Mo2OF2, from Alexandria via LeMat-Bulk.

Cell lengths 6.6954, 6.6954, 3.1655 Å; angles 90.00, 90.00, 90.00 degrees
With the nearest neighbours (Å) after each atom.
Positions (direct):
Mo 0.2094 0.2906 0.0000  2 F 2.25
Mo 0.2906 0.7906 0.0000  2 F 2.25
Mo 0.7094 0.2094 0.0000  2 F 2.25
Mo 0.7906 0.7094 0.0000  2 F 2.25
O 0.0000 0.0000 0.5000  4 F 2.66, 8 Mo 2.87
O 0.5000 0.5000 0.5000  4 F 2.66, 8 Mo 2.87
F 0.1216 0.6216 0.5000  2 Mo 2.25, 1 F 2.30
F 0.3784 0.1216 0.5000  2 Mo 2.25, 1 F 2.30
F 0.6216 0.8784 0.5000  2 Mo 2.25, 1 F 2.30
F 0.8784 0.3784 0.5000  2 Mo 2.25, 1 F 2.30

Properties
Space group ... P4/mbm (127)
Energy ... -0.1848 hartree per atom